[1]
! Tb4PmS4 (PBE-GGA, optimized geometry); values from VASP
&SYSTEM
  ibrav = 0, nat = 9, ntyp = 3
/
ATOMIC_SPECIES
Tb 158.93 Tb.upf
Pm 145.00 Pm.upf
S 32.06 S.upf
ATOMIC_POSITIONS crystal
Tb 0.704 0.390 0.201
Tb 0.901 0.801 0.396
Tb 0.296 0.610 0.799
Tb 0.099 0.199 0.604
Pm 0.500 0.000 0.000
S 0.298 0.096 0.308
S 0.702 0.904 0.692
S 0.895 0.312 0.898
S 0.105 0.688 0.102
CELL_PARAMETERS angstrom
3.822 0.000 0.903
1.607 6.398 1.739
-0.043 0.075 8.720
! **Crystal system**: monoclinic
! **Raw formation energy**: -1.779 eV per atom
! **Total DFT energy (no corrections)**: -6.1993 eV/atom
! **Mass density**: 7.08 Mg/m³

[2]
! Cu2Ir2Pb (PBE-GGA, optimized geometry); values from VASP
&SYSTEM
  ibrav = 0, nat = 10, ntyp = 3
/
ATOMIC_SPECIES
Pb 207.20 Pb.upf
Ir 192.22 Ir.upf
Cu 63.55 Cu.upf
ATOMIC_POSITIONS crystal
Pb 0.000 0.000 0.000
Pb 0.500 0.500 0.000
Ir 0.373 0.873 0.000
Ir 0.873 0.627 0.000
Ir 0.627 0.127 0.000
Ir 0.127 0.373 0.000
Cu 0.168 0.668 0.500
Cu 0.668 0.832 0.500
Cu 0.832 0.332 0.500
Cu 0.332 0.168 0.500
CELL_PARAMETERS angstrom
7.332 0.000 0.000
0.000 7.332 0.000
0.000 0.000 2.976
! **Crystal system**: tetragonal
! **Total DFT energy (no corrections)**: -5.5783 eV/atom
! **Mass density**: 14.92 Mg/m³
! **Formation energy**: 346 meV/atom

[3]
! BaHoPaO6 (PBE-GGA, optimized geometry); values from VASP
&SYSTEM
  ibrav = 0, nat = 9, ntyp = 4
/
ATOMIC_SPECIES
Ba 137.33 Ba.upf
Ho 164.93 Ho.upf
Pa 231.04 Pa.upf
O 16.00 O.upf
ATOMIC_POSITIONS crystal
Ba 0.500 0.667 0.333
Ho 0.500 0.000 0.000
Pa 0.000 0.333 0.667
O 0.750 0.657 0.722
O 0.750 0.278 0.935
O 0.750 0.065 0.343
O 0.250 0.278 0.343
O 0.250 0.657 0.935
O 0.250 0.065 0.722
CELL_PARAMETERS angstrom
-4.743 -0.572 0.675
0.655 -6.063 -0.540
0.463 2.651 5.499
! **Crystal system**: trigonal
! **Raw formation energy**: -2.730 eV per atom
! **Total DFT energy (no corrections)**: -7.8129 eV/atom
! **Mass density**: 6.67 Mg/m³

[4]
! La2Pr12Y7 (PBE-GGA, optimized geometry); values from VASP
&SYSTEM
  ibrav = 0, nat = 21, ntyp = 3
/
ATOMIC_SPECIES
La 138.91 La.upf
Pr 140.91 Pr.upf
Y 88.91 Y.upf
ATOMIC_POSITIONS crystal
La 0.500 0.000 0.000
La 0.000 0.667 0.333
Pr 0.500 0.869 0.587
Pr 0.500 0.718 0.131
Pr 0.500 0.413 0.282
Pr 0.500 0.271 0.840
Pr 0.500 0.569 0.729
Pr 0.500 0.160 0.431
Pr 0.000 0.083 0.599
Pr 0.000 0.517 0.917
Pr 0.000 0.401 0.483
Pr 0.000 0.795 0.749
Pr 0.000 0.954 0.205
Pr 0.000 0.251 0.046
Y 0.000 0.333 0.667
Y 0.000 0.048 0.810
Y 0.000 0.762 0.952
Y 0.000 0.190 0.238
Y 0.500 0.620 0.523
Y 0.500 0.902 0.380
Y 0.500 0.477 0.098
CELL_PARAMETERS angstrom
3.611 0.000 0.000
0.000 13.324 -7.693
0.000 0.000 15.386
! **Crystal system**: hexagonal
! **Total DFT energy (no corrections)**: -5.3161 eV/atom
! **Mass density**: 5.81 Mg/m³
! **Formation energy**: 39 meV/atom

[5]
! KMg2Mo (PBE-GGA, optimized geometry); values from VASP
&SYSTEM
  ibrav = 0, nat = 4, ntyp = 3
/
ATOMIC_SPECIES
K 39.10 K.upf
Mg 24.30 Mg.upf
Mo 95.94 Mo.upf
ATOMIC_POSITIONS crystal
K 0.249 0.249 0.269
Mg 0.010 0.010 0.921
Mg 0.752 0.752 0.707
Mo 0.489 0.489 0.603
CELL_PARAMETERS angstrom
5.269 0.002 -0.016
4.502 2.737 -0.016
0.427 0.120 7.537
! **Crystal system**: monoclinic
! **Excess energy over the best structure of this formula in the dataset**: 231 meV/atom
! **Total DFT energy (no corrections)**: -3.0132 eV/atom
! **Mass density**: 2.81 Mg/m³
! **Formation energy**: 766 meV/atom

[6]
! Rb12Au6O (PBE-GGA, optimized geometry); values from VASP
&SYSTEM
  ibrav = 0, nat = 19, ntyp = 3
/
ATOMIC_SPECIES
Rb 85.47 Rb.upf
Au 196.97 Au.upf
O 16.00 O.upf
ATOMIC_POSITIONS crystal
Rb 0.818 0.572 0.422
Rb 0.422 0.818 0.572
Rb 0.572 0.422 0.818
Rb 0.182 0.428 0.578
Rb 0.578 0.182 0.428
Rb 0.428 0.578 0.182
Rb 0.057 0.983 0.288
Rb 0.017 0.712 0.943
Rb 0.712 0.943 0.017
Rb 0.943 0.017 0.712
Rb 0.983 0.288 0.057
Rb 0.288 0.057 0.983
Au 0.702 0.875 0.366
Au 0.634 0.298 0.125
Au 0.125 0.634 0.298
Au 0.298 0.125 0.634
Au 0.366 0.702 0.875
Au 0.875 0.366 0.702
O 0.000 0.000 0.000
CELL_PARAMETERS angstrom
9.705 -0.069 -1.546
-1.802 9.537 -1.546
-0.057 -0.069 9.828
! **Crystal system**: trigonal
! **Raw formation energy**: -0.320 eV per atom
! **Total DFT energy (no corrections)**: -2.2272 eV/atom
! **Mass density**: 4.07 Mg/m³